A geometry-optimized Pm4Pr3Y8 structure, computed with PBE.

The structure belongs to space group R-3m (No. 166, hexagonal axes); the cell edges are 7.0640, 7.0640 and 35.7850 Å and the angles 90.00°, 90.00° and 120.00°. The inequivalent atoms are Pm at (0.0000, 0.0000, 0.0000), Pm at (0.0000, 0.0000, 0.1641), Pm at (0.0000, 0.0000, 0.5000), Pr at (0.0000, 0.5000, 0.0000), Y at (0.0000, 0.0000, 0.2539) and Y at (0.0001, 0.5000, 0.2493).

The calculated total energy comes out at -249.03 eV/cell. The calculated formation energy comes out at 0.136 eV/atom. The value obtained for the density of states at the Fermi level is 24.098 states/eV/f.u. As for the distance to the lowest polymorph of the same formula: 0.00 eV/f.u. The magnetization is 0.0 μB/cell.